Material: NdB6Ir5
Method: DFT, PBE
State: relaxed

Cell and atoms, written as POSCAR:
```
NdB6Ir5
1.0
2.6718 -5.2796 0.0000
2.6718 5.2796 0.0000
-1.9350 0.0000 5.1001
Nd B Ir
1 6 5
Cartesian
0.0000 0.0000 0.0000
0.9576 3.2033 3.1763
2.4510 3.2033 1.9238
0.7564 0.0000 4.1605
2.6522 0.0000 0.9396
0.9576 -3.2033 3.1763
2.4510 -3.2033 1.9238
-0.9675 0.0000 2.5501
2.6718 2.0574 0.0000
1.7043 1.3346 2.5501
1.7043 -1.3346 2.5501
2.6718 -2.0574 0.0000
```

Calculated values
- E_tot: -91.7 eV per cell
- Space-group type: C2/m
- Formation energy: -212 meV/atom
- Magnetic moment: 0.00 μB/f.u.